Entry 1:
5
Lattice="6.597 0.000 0.000 0.000 6.597 0.000 0.000 0.000 5.986" Properties=species:S:1:pos:R:3 comment="CsK2HgBi, optimized geometry, DFT PBE" total_magnetization_mub_per_cell=0.725 delta_e_f_ev_per_atom=-0.1700 energy_ev_per_atom=-1.62 n_ef_per_ev_atom=0.60 pbc="T T T"
Cs 3.299 3.299 2.993
K 0.000 3.299 0.000
K 3.299 0.000 0.000
Bi 0.000 0.000 2.993
Hg 0.000 0.000 0.000



Entry 2:
5
Lattice="-1.363 5.922 0.279 -5.805 -1.391 1.173 1.077 -0.003 5.327" Properties=species:S:1:pos:R:3 comment="CsLiHg2Bi, optimized geometry, DFT PBE" total_magnetization_mub_per_cell=0.000 delta_e_f_ev_per_atom=-0.1675 energy_ev_per_atom=-1.62 n_ef_per_ev_atom=0.44 pbc="T T T"
Cs -3.045 2.264 3.389
Li 0.538 -0.001 2.663
Bi 0.000 0.000 0.000
Hg -2.902 -0.695 0.586
Hg -0.681 2.961 0.139



Entry 3:
5
Lattice="5.660 0.000 0.000 0.000 5.660 0.000 0.000 0.000 5.408" Properties=species:S:1:pos:R:3 comment="CsLiHg2Bi, optimized geometry, DFT PBE" total_magnetization_mub_per_cell=0.000 delta_e_f_ev_per_atom=-0.1855 energy_ev_per_atom=-1.64 n_ef_per_ev_atom=0.82 pbc="T T T"
Cs 2.830 2.830 2.704
Li 0.000 0.000 0.000
Bi 0.000 0.000 2.704
Hg 0.000 2.830 0.000
Hg 2.830 0.000 0.000



Entry 4:
5
Lattice="7.689 0.000 0.000 0.000 7.689 0.000 0.000 0.000 5.633" Properties=species:S:1:pos:R:3 comment="Cs2MgHgBi, optimized geometry, DFT PBE" total_magnetization_mub_per_cell=0.000 delta_e_f_ev_per_atom=-0.1212 energy_ev_per_atom=-1.62 n_ef_per_ev_atom=0.30 pbc="T T T"
Cs 0.000 3.845 0.000
Cs 3.845 0.000 0.000
Mg 0.000 0.000 2.816
Bi 0.000 0.000 0.000
Hg 3.845 3.845 2.816